Record 1
VASP calculation (PBE) on an optimized crystal structure of Nd4Y2HoEr2.

Summary:
For the formation enthalpy at 0 K, the calculation gives 21 meV/atom.

```
Nd4Y2HoEr2
1.0
7.645 -2.546 0.000
7.645 2.546 0.000
-2.542 0.000 7.634
Nd Y Ho Er
4 2 1 2
direct
0.054 0.054 0.329
0.278 0.278 0.669
0.722 0.722 0.331
0.946 0.946 0.671
0.388 0.388 0.330
0.612 0.612 0.670
0.500 0.500 0.000
0.167 0.167 0.000
0.833 0.833 0.000
```

***

Record 2
VASP calculation (PBE) on an optimized crystal structure of Nd3Y2HoEr6.

Summary:
For the formation enthalpy at 0 K, the calculation gives 22 meV/atom.

```
Nd3Y2HoEr6
1.0
3.091 -5.350 0.000
3.091 5.350 0.000
-2.054 0.000 11.585
Nd Y Ho Er
3 2 1 6
direct
0.000 0.000 0.000
0.333 0.667 0.000
0.667 0.333 0.000
0.167 0.833 0.500
0.833 0.167 0.500
0.500 0.500 0.500
0.085 0.418 0.253
0.250 0.250 0.747
0.418 0.085 0.253
0.582 0.915 0.747
0.750 0.750 0.253
0.915 0.582 0.747
```

***

Record 3
VASP calculation (PBE) on an optimized crystal structure of NdYHoEr.

Summary:
Its relative energy among the computed polymorphs is 0 meV per atom. For the formation enthalpy at 0 K, the calculation gives 19 meV/atom.

```
NdYHoEr
1.0
3.593 0.000 0.000
-1.796 3.111 0.000
0.000 0.000 34.683
Nd Y Ho Er
3 3 3 3
direct
0.000 0.000 0.000
0.333 0.667 0.667
0.667 0.333 0.333
0.000 0.000 0.580
0.333 0.667 0.247
0.667 0.333 0.914
0.000 0.000 0.751
0.333 0.667 0.417
0.667 0.333 0.084
0.000 0.000 0.165
0.333 0.667 0.831
0.667 0.333 0.498
```

***

Record 4
VASP calculation (PBE) on an optimized crystal structure of NdY2Ho3Er6.

Summary:
For the formation enthalpy at 0 K, the calculation gives 22 meV/atom.

```
NdY2Ho3Er6
1.0
3.063 -5.299 0.000
3.063 5.299 0.000
-2.032 0.000 11.540
Nd Y Ho Er
1 2 3 6
direct
0.000 0.000 0.000
0.333 0.667 0.000
0.667 0.333 0.000
0.167 0.833 0.500
0.500 0.500 0.500
0.833 0.167 0.500
0.085 0.418 0.253
0.248 0.248 0.747
0.418 0.085 0.253
0.582 0.915 0.747
0.752 0.752 0.253
0.915 0.582 0.747
```

***

Record 5
VASP calculation (PBE) on an optimized crystal structure of Nd2YHo6Er.

Summary:
For the formation enthalpy at 0 K, the calculation gives 114 meV/atom.

```
Nd2YHo6Er
1.0
4.497 -7.535 0.000
4.497 7.535 0.000
-1.458 0.000 9.536
Nd Y Ho Er
4 2 12 2
direct
0.194 0.301 0.043
0.301 0.194 0.543
0.699 0.806 0.457
0.806 0.699 0.957
0.018 0.982 0.250
0.982 0.018 0.750
0.022 0.575 0.188
0.127 0.745 0.557
0.255 0.873 0.943
0.291 0.501 0.381
0.425 0.978 0.312
0.499 0.709 0.119
0.501 0.291 0.881
0.575 0.022 0.688
0.709 0.499 0.619
0.745 0.127 0.057
0.873 0.255 0.443
0.978 0.425 0.812
0.407 0.593 0.750
0.593 0.407 0.250
```

***

Record 6
VASP calculation (PBE) on an optimized crystal structure of Nd2YHoEr2.

Summary:
For the formation enthalpy at 0 K, the calculation gives 123 meV/atom.

```
Nd2YHoEr2
1.0
6.576 0.000 0.000
0.000 7.038 0.000
-2.061 0.000 8.559
Nd Y Ho Er
4 2 2 4
direct
0.126 0.250 0.347
0.265 0.750 0.988
0.735 0.250 0.012
0.874 0.750 0.653
0.244 0.250 0.988
0.756 0.750 0.012
0.121 0.750 0.352
0.879 0.250 0.648
0.405 0.001 0.682
0.405 0.499 0.682
0.595 0.501 0.318
0.595 0.999 0.318
```